Material: MnInFe2
Method: DFT, PBE
State: relaxed

POSCAR file:
```
MnInFe2
1.0
-2.0485 2.0485 3.3817
2.0485 -2.0485 3.3817
2.0485 2.0485 -3.3817
Mn In Fe
1 1 2
Direct
0.0000 0.0000 0.0000
0.7500 0.2500 0.5000
0.2500 0.7500 0.5000
0.5000 0.5000 0.0000
```

- energy of formation from the pure elements (eV per atom) = 0.21